1.
{"formula": "GaTcPS2", "functional": "PBEsol", "state": "optimized geometry", "dft_energy_ev_per_atom": -5.578, "sg": "P4/mmm (123)", "crystal_system": "tetragonal", "e_form_raw_mev_per_atom": 255, "cell": [[4.586, 0.000, 0.000], [0.000, 4.615, 0.000], [0.000, 0.000, 4.615]], "species": ["P", "S", "S", "Tc", "Ga"], "fractional_positions": [[0.500, 0.000, 0.000], [0.000, 0.000, 0.500], [0.000, 0.500, 0.000], [0.000, 0.000, 0.000], [0.500, 0.500, 0.500]]}

2.
{"formula": "GaSb3P", "functional": "PBEsol", "state": "optimized geometry", "dft_energy_ev_per_atom": -3.625, "sg": "Pm-3m (221)", "crystal_system": "cubic", "e_form_raw_mev_per_atom": 936, "cell": [[5.144, 0.000, 0.000], [0.000, 5.144, 0.000], [0.000, 0.000, 5.144]], "species": ["Sb", "Sb", "Sb", "Ga", "P"], "fractional_positions": [[0.000, 0.500, 0.000], [0.000, 0.000, 0.500], [0.500, 0.000, 0.000], [0.000, 0.000, 0.000], [0.500, 0.500, 0.500]]}

3.
{"formula": "Ga2SiP", "functional": "PBEsol", "state": "optimized geometry", "dft_energy_ev_per_atom": -4.239, "sg": "Fm-3m (225)", "crystal_system": "cubic", "e_form_raw_mev_per_atom": 315, "cell": [[-4.227, 1.431, 0.521], [-1.877, 0.024, 4.082], [-0.812, 3.901, 2.076]], "species": ["P", "Si", "Ga", "Ga"], "fractional_positions": [[0.500, 0.500, 0.500], [0.000, 0.000, 0.000], [0.250, 0.250, 0.250], [0.750, 0.750, 0.750]]}

4.
{"formula": "GaSnTe2P", "functional": "PBEsol", "state": "optimized geometry", "dft_energy_ev_per_atom": -3.703, "sg": "P4/mmm (123)", "crystal_system": "tetragonal", "e_form_raw_mev_per_atom": 385, "cell": [[-5.213, 0.332, 0.708], [-0.235, -5.150, 0.687], [0.735, 0.647, 5.108]], "species": ["P", "Te", "Te", "Sn", "Ga"], "fractional_positions": [[0.000, 0.000, 0.000], [0.000, 0.000, 0.500], [0.000, 0.500, 0.000], [0.500, 0.000, 0.000], [0.500, 0.500, 0.500]]}

5.
{"formula": "Sr3Ga2P4", "functional": "PBEsol", "state": "optimized geometry", "dft_energy_ev_per_atom": -4.809, "sg": "C2/c (15)", "e_form_ev_per_atom": -0.88, "crystal_system": "monoclinic", "cell": [[6.583, 0.008, 0.006], [-0.023, 8.278, 0.002], [-0.023, 2.065, 8.016]], "species": ["Sr", "Sr", "Sr", "Sr", "Sr", "Sr", "Ga", "Ga", "Ga", "Ga", "P", "P", "P", "P", "P", "P", "P", "P"], "fractional_positions": [[0.461, 0.749, 0.005], [0.039, 0.995, 0.251], [0.539, 0.251, 0.995], [0.961, 0.005, 0.749], [0.750, 0.600, 0.400], [0.250, 0.400, 0.600], [0.917, 0.583, 0.825], [0.583, 0.175, 0.417], [0.083, 0.417, 0.175], [0.417, 0.825, 0.583], [0.976, 0.706, 0.058], [0.524, 0.942, 0.294], [0.024, 0.294, 0.942], [0.476, 0.058, 0.706], [0.573, 0.574, 0.741], [0.927, 0.259, 0.426], [0.427, 0.426, 0.259], [0.073, 0.741, 0.574]]}

6.
{"formula": "SrY2GaP", "functional": "PBEsol", "state": "optimized geometry", "dft_energy_ev_per_atom": -4.884, "sg": "P4/mmm (123)", "e_form_ev_per_atom": 0.04, "crystal_system": "tetragonal", "cell": [[-3.184, 3.862, 1.746], [-2.673, -0.135, -4.576], [-3.496, -3.857, 2.156]], "species": ["Y", "Y", "Sr", "Ga", "P"], "fractional_positions": [[0.000, 0.500, 0.000], [0.500, 0.000, 0.000], [0.000, 0.000, 0.500], [0.000, 0.000, 0.000], [0.500, 0.500, 0.500]]}

7.
{"formula": "GaTeP3", "functional": "PBEsol", "state": "optimized geometry", "dft_energy_ev_per_atom": -4.044, "sg": "Pm-3m (221)", "crystal_system": "cubic", "e_form_raw_mev_per_atom": 804, "cell": [[4.633, 0.000, 0.000], [0.000, 4.633, 0.000], [0.000, 0.000, 4.633]], "species": ["P", "P", "P", "Te", "Ga"], "fractional_positions": [[0.000, 0.500, 0.000], [0.000, 0.000, 0.500], [0.500, 0.000, 0.000], [0.500, 0.500, 0.500], [0.000, 0.000, 0.000]]}

8.
{"formula": "Ga2TeP2", "functional": "PBEsol", "state": "optimized geometry", "dft_energy_ev_per_atom": -4.131, "sg": "I4/mmm (139)", "crystal_system": "tetragonal", "e_form_raw_mev_per_atom": 227, "cell": [[-3.771, -0.605, 2.405], [0.666, -4.463, -0.079], [3.997, 2.830, 2.745]], "species": ["P", "P", "Te", "Ga", "Ga"], "fractional_positions": [[0.250, 0.750, 0.500], [0.750, 0.250, 0.500], [0.000, 0.000, 0.000], [0.367, 0.367, 0.734], [0.633, 0.633, 0.266]]}

9.
{"formula": "PaGa3", "functional": "PBEsol", "state": "optimized geometry", "dft_energy_ev_per_atom": -5.461, "sg": "Pm-3m (221)", "e_form_ev_per_atom": -0.40, "crystal_system": "cubic", "cell": [[-2.443, 2.043, 2.793], [-2.744, -3.228, -0.038], [2.110, -1.831, 3.185]], "species": ["Pa", "Ga", "Ga", "Ga"], "fractional_positions": [[0.000, 0.000, 0.000], [0.500, 0.000, 0.500], [0.000, 0.500, 0.500], [0.500, 0.500, 0.000]]}

10.
{"formula": "PaGaTc2", "functional": "PBEsol", "state": "optimized geometry", "dft_energy_ev_per_atom": -9.265, "sg": "Fm-3m (225)", "e_form_ev_per_atom": -0.24, "crystal_system": "cubic", "cell": [[4.547, 0.000, 0.000], [2.273, 3.937, 0.000], [2.273, 1.312, 3.712]], "species": ["Pa", "Tc", "Tc", "Ga"], "fractional_positions": [[0.000, 0.000, 0.000], [0.250, 0.250, 0.250], [0.750, 0.750, 0.750], [0.500, 0.500, 0.500]]}

11.
{"formula": "Rb3GaPb", "functional": "PBEsol", "state": "optimized geometry", "dft_energy_ev_per_atom": -1.636, "sg": "Pm-3m (221)", "e_form_ev_per_atom": 0.45, "crystal_system": "cubic", "cell": [[6.552, 0.000, 0.000], [0.000, 6.552, 0.000], [0.000, 0.000, 6.552]], "species": ["Pb", "Ga", "Rb", "Rb", "Rb"], "fractional_positions": [[0.500, 0.500, 0.500], [0.000, 0.000, 0.000], [0.000, 0.500, 0.000], [0.000, 0.000, 0.500], [0.500, 0.000, 0.000]]}

12.
{"formula": "RbGa2Pb2", "functional": "PBEsol", "state": "optimized geometry", "dft_energy_ev_per_atom": -3.176, "sg": "I4/mmm (139)", "e_form_ev_per_atom": -0.04, "crystal_system": "tetragonal", "cell": [[-4.675, 1.070, -1.530], [-1.350, -4.786, 0.777], [1.505, 3.181, 5.907]], "species": ["Pb", "Pb", "Ga", "Ga", "Rb"], "fractional_positions": [[0.369, 0.369, 0.737], [0.631, 0.631, 0.263], [0.250, 0.750, 0.500], [0.750, 0.250, 0.500], [0.000, 0.000, 0.000]]}

13.
{"formula": "Ga3RePb", "functional": "PBEsol", "state": "optimized geometry", "dft_energy_ev_per_atom": -3.554, "sg": "Pm-3m (221)", "e_form_ev_per_atom": 1.92, "crystal_system": "cubic", "cell": [[5.185, 0.000, 0.000], [0.000, 5.185, 0.000], [0.000, 0.000, 5.185]], "species": ["Pb", "Re", "Ga", "Ga", "Ga"], "fractional_positions": [[0.000, 0.000, 0.000], [0.500, 0.500, 0.500], [0.000, 0.500, 0.000], [0.000, 0.000, 0.500], [0.500, 0.000, 0.000]]}

14.
{"formula": "GaRe3Pb", "functional": "PBEsol", "state": "optimized geometry", "dft_energy_ev_per_atom": -6.084, "sg": "Pm-3m (221)", "e_form_ev_per_atom": 3.38, "crystal_system": "cubic", "cell": [[-1.249, 3.370, 3.341], [-4.572, 0.072, -1.782], [-1.273, -3.567, 3.121]], "species": ["Pb", "Re", "Re", "Re", "Ga"], "fractional_positions": [[0.000, 0.000, 0.000], [0.000, 0.500, 0.000], [0.000, 0.000, 0.500], [0.500, 0.000, 0.000], [0.500, 0.500, 0.500]]}

15.
{"formula": "ScGaRePb2", "functional": "PBEsol", "state": "optimized geometry", "dft_energy_ev_per_atom": -4.982, "sg": "P4/mmm (123)", "e_form_ev_per_atom": 1.27, "crystal_system": "tetragonal", "cell": [[4.664, 0.000, 0.000], [0.000, 5.498, 0.000], [0.000, 0.000, 5.498]], "species": ["Pb", "Pb", "Re", "Sc", "Ga"], "fractional_positions": [[0.000, 0.000, 0.500], [0.000, 0.500, 0.000], [0.500, 0.000, 0.000], [0.000, 0.000, 0.000], [0.500, 0.500, 0.500]]}

16.
{"formula": "Ga3RhPb", "functional": "PBEsol", "state": "optimized geometry", "dft_energy_ev_per_atom": -3.031, "sg": "Pm-3m (221)", "e_form_ev_per_atom": 1.40, "crystal_system": "cubic", "cell": [[-4.810, -0.075, -1.881], [1.812, -1.583, -4.571], [-0.510, -4.916, 1.501]], "species": ["Pb", "Rh", "Ga", "Ga", "Ga"], "fractional_positions": [[0.000, 0.000, 0.000], [0.500, 0.500, 0.500], [0.000, 0.500, 0.000], [0.000, 0.000, 0.500], [0.500, 0.000, 0.000]]}

17.
{"formula": "GaRu2RhPb", "functional": "PBEsol", "state": "optimized geometry", "dft_energy_ev_per_atom": -5.115, "sg": "P4/mmm (123)", "e_form_ev_per_atom": 2.05, "crystal_system": "tetragonal", "cell": [[-2.863, -3.630, 1.415], [2.187, -2.970, -3.196], [3.269, -1.252, 3.401]], "species": ["Pb", "Ru", "Ru", "Rh", "Ga"], "fractional_positions": [[0.000, 0.000, 0.000], [0.000, 0.000, 0.500], [0.000, 0.500, 0.000], [0.500, 0.000, 0.000], [0.500, 0.500, 0.500]]}

18.
{"formula": "GaRuPb3", "functional": "PBEsol", "state": "optimized geometry", "dft_energy_ev_per_atom": -3.822, "sg": "Pm-3m (221)", "e_form_ev_per_atom": 1.28, "crystal_system": "cubic", "cell": [[-2.877, 1.994, -3.889], [-1.361, -4.833, -1.471], [-4.153, 0.203, 3.177]], "species": ["Pb", "Pb", "Pb", "Ru", "Ga"], "fractional_positions": [[0.000, 0.500, 0.000], [0.000, 0.000, 0.500], [0.500, 0.000, 0.000], [0.500, 0.500, 0.500], [0.000, 0.000, 0.000]]}

19.
{"formula": "Ga2Pb2S5", "functional": "PBEsol", "state": "optimized geometry", "dft_energy_ev_per_atom": -4.712, "sg": "Pbca (61)", "crystal_system": "orthorhombic", "e_form_raw_mev_per_atom": -646, "cell": [[11.034, 0.000, 0.000], [0.000, 11.872, 0.000], [0.000, 0.000, 12.316]], "species": ["Ga", "Ga", "Ga", "Ga", "Ga", "Ga", "Ga", "Ga", "Ga", "Ga", "Ga", "Ga", "Ga", "Ga", "Ga", "Ga", "Pb", "Pb", "Pb", "Pb", "Pb", "Pb", "Pb", "Pb", "Pb", "Pb", "Pb", "Pb", "Pb", "Pb", "Pb", "Pb", "S", "S", "S", "S", "S", "S", "S", "S", "S", "S", "S", "S", "S", "S", "S", "S", "S", "S", "S", "S", "S", "S", "S", "S", "S", "S", "S", "S", "S", "S", "S", "S", "S", "S", "S", "S", "S", "S", "S", "S"], "fractional_positions": [[0.734, 0.461, 0.527], [0.564, 0.200, 0.045], [0.734, 0.961, 0.973], [0.436, 0.300, 0.545], [0.064, 0.300, 0.045], [0.436, 0.800, 0.955], [0.766, 0.461, 0.027], [0.936, 0.700, 0.955], [0.064, 0.800, 0.455], [0.234, 0.539, 0.973], [0.564, 0.700, 0.455], [0.266, 0.039, 0.027], [0.766, 0.961, 0.473], [0.936, 0.200, 0.545], [0.266, 0.539, 0.473], [0.234, 0.039, 0.527], [0.761, 0.245, 0.810], [0.507, 0.021, 0.705], [0.993, 0.021, 0.205], [0.739, 0.245, 0.310], [0.493, 0.979, 0.295], [0.261, 0.755, 0.690], [0.239, 0.255, 0.310], [0.007, 0.479, 0.705], [0.507, 0.521, 0.795], [0.739, 0.745, 0.190], [0.993, 0.521, 0.295], [0.239, 0.755, 0.190], [0.493, 0.479, 0.205], [0.007, 0.979, 0.795], [0.261, 0.255, 0.810], [0.761, 0.745, 0.690], [0.260, 0.860, 0.465], [0.760, 0.640, 0.465], [0.994, 0.210, 0.719], [0.412, 0.622, 0.027], [0.927, 0.888, 0.567], [0.573, 0.888, 0.067], [0.740, 0.140, 0.535], [0.006, 0.290, 0.219], [0.760, 0.140, 0.035], [0.006, 0.790, 0.281], [0.244, 0.524, 0.791], [0.256, 0.524, 0.291], [0.427, 0.112, 0.933], [0.912, 0.878, 0.027], [0.744, 0.476, 0.709], [0.240, 0.360, 0.535], [0.088, 0.122, 0.973], [0.756, 0.976, 0.291], [0.494, 0.790, 0.781], [0.260, 0.360, 0.035], [0.588, 0.378, 0.973], [0.744, 0.976, 0.791], [0.756, 0.476, 0.209], [0.427, 0.612, 0.567], [0.073, 0.112, 0.433], [0.088, 0.622, 0.527], [0.073, 0.612, 0.067], [0.927, 0.388, 0.933], [0.740, 0.640, 0.965], [0.573, 0.388, 0.433], [0.256, 0.024, 0.209], [0.588, 0.878, 0.527], [0.240, 0.860, 0.965], [0.494, 0.290, 0.719], [0.994, 0.710, 0.781], [0.912, 0.378, 0.473], [0.506, 0.710, 0.281], [0.412, 0.122, 0.473], [0.506, 0.210, 0.219], [0.244, 0.024, 0.709]]}

20.
{"formula": "Ga3PbS", "functional": "PBEsol", "state": "optimized geometry", "dft_energy_ev_per_atom": -3.446, "sg": "Pm-3m (221)", "crystal_system": "cubic", "e_form_raw_mev_per_atom": 235, "cell": [[4.813, 0.000, 0.000], [0.000, 4.813, 0.000], [0.000, 0.000, 4.813]], "species": ["Pb", "S", "Ga", "Ga", "Ga"], "fractional_positions": [[0.500, 0.500, 0.500], [0.000, 0.000, 0.000], [0.000, 0.500, 0.000], [0.000, 0.000, 0.500], [0.500, 0.000, 0.000]]}